Record 1
## Mg3AsW (PBE)

Data for a relaxed Mg3AsW crystal.

Output
E_form (eV/f.u.): 7.0
Spin magnetization (μB per formula unit): 2.7
Calculated density (g/cm³): 3.89
Offset from the most stable computed form (kJ/mol of formula units): 204.7

abc: 5.2129 5.2129 5.2129
angles: 90.00 90.00 90.00
With the nearest neighbours (Å) after each atom.
Space group Pm-3m (No. 221)
Asymmetric unit:
Mg 0.0000 0.0000 0.5000 x3  2 W 2.61
As 0.5000 0.5000 0.5000 x1  12 Mg 3.69
W 0.0000 0.0000 0.0000 x1  6 Mg 2.61

---

Record 2
## ReTcCl2 (PBE)

Data for a relaxed ReTcCl2 crystal.

Output
Formation energy (no corrections) (eV per formula unit): 5.45
Spin magnetization (μB per formula unit): 0.0
Calculated density (g/cm³): 10.20
Offset from the most stable computed form (kJ/mol of formula units): 584.1

abc: 4.3360 4.3360 6.1509
angles: 90.00 90.00 90.00
With the nearest neighbours (Å) after each atom.
Space group I4/mmm (No. 139)
Asymmetric unit:
Re 0.0000 0.0000 0.0000 x2  8 Cl 2.66
Tc 0.0000 0.0000 0.5000 x2  8 Cl 2.66
Cl 0.0000 0.5000 0.2500 x4  4 Tc 2.66, 4 Re 2.66

---

Record 3
## Zn6Au5 (PBE)

Data for a relaxed Zn6Au5 crystal.

Output
E_form (eV/f.u.): -2.1
Spin magnetization (μB per formula unit): 0.0
Calculated density (g/cm³): 12.29
Offset from the most stable computed form (kJ/mol of formula units): 0.0

abc: 4.3870 6.4665 13.1217
angles: 90.00 90.00 90.00
With the nearest neighbours (Å) after each atom.
Space group Immm (No. 71)
Asymmetric unit:
Zn 0.0000 0.2339 0.0000 x4  6 Au 2.65-2.83
Zn 0.0000 0.2630 0.3446 x8  7 Au 2.65-2.90
Au 0.0000 0.0000 0.1658 x4  8 Zn 2.65-2.90
Au 0.0000 0.0000 0.5000 x2  8 Zn 2.65-2.79
Au 0.0000 0.5000 0.1711 x4  8 Zn 2.74-2.83, 2 Au 3.07